#one
The following is a PBE calculation of a relaxed Ac2Si3Ir2 crystal, from Alexandria.

## Properties
- space group = Cmcm, No. 63

a b c (Å): 9.4030 9.4030 7.0714
angles (deg): 90.00 90.00 152.00
Sites, in units of the cell vectors:
Ac: 0.0583 0.9417 0.7500
Ac: 0.1559 0.8441 0.2500
Ac: 0.8441 0.1559 0.7500
Ac: 0.9417 0.0583 0.2500
Si: 0.2292 0.7708 0.7500
Si: 0.4383 0.5617 0.5705
Si: 0.4383 0.5617 0.9295
Si: 0.5617 0.4383 0.0705
Si: 0.5617 0.4383 0.4295
Si: 0.7708 0.2292 0.2500
Ir: 0.3094 0.6906 0.0498
Ir: 0.3094 0.6906 0.4502
Ir: 0.6906 0.3094 0.5498
Ir: 0.6906 0.3094 0.9502

***

#two
The following is a PBE calculation of a relaxed Ac2Si3Ir2 crystal, from Alexandria.

## Properties
- space group = C2/m, No. 12

a b c (Å): 11.6329 4.0371 7.4017
angles (deg): 90.00 122.13 90.00
Sites, in units of the cell vectors:
Ac: 0.1355 0.0000 0.2603
Ac: 0.3645 0.5000 0.7397
Ac: 0.6355 0.5000 0.2603
Ac: 0.8645 0.0000 0.7397
Si: 0.0000 0.5000 0.5000
Si: 0.1530 0.5000 0.9315
Si: 0.3471 0.0000 0.0685
Si: 0.5000 0.0000 0.5000
Si: 0.6530 0.0000 0.9315
Si: 0.8470 0.5000 0.0685
Ir: 0.1312 0.0000 0.7182
Ir: 0.3688 0.5000 0.2818
Ir: 0.6312 0.5000 0.7182
Ir: 0.8688 0.0000 0.2818

***

Which of them is the most stable? Correct choice: #two.

***

#one
The following is a PBE calculation of a relaxed AcSi2Ir2 crystal, from Alexandria.

## Properties
- space group = I4/mmm, No. 139

a b c (Å): 4.1793 4.1793 10.7876
angles (deg): 90.00 90.00 90.00
Sites, in units of the cell vectors:
Ac: 0.0000 0.0000 0.0000
Ac: 0.5000 0.5000 0.5000
Si: 0.0000 0.0000 0.3658
Si: 0.0000 0.0000 0.6342
Si: 0.5000 0.5000 0.1342
Si: 0.5000 0.5000 0.8658
Ir: 0.0000 0.5000 0.2500
Ir: 0.0000 0.5000 0.7500
Ir: 0.5000 0.0000 0.2500
Ir: 0.5000 0.0000 0.7500

***

#two
The following is a PBE calculation of a relaxed AcSi2Ir2 crystal, from Alexandria.

## Properties
- space group = Fddd, No. 70

a b c (Å): 8.1918 7.0885 5.9618
angles (deg): 77.23 57.56 45.22
Sites, in units of the cell vectors:
Ac: 0.1250 0.1250 0.1250
Ac: 0.8750 0.8750 0.8750
Si: 0.1906 0.5594 0.1906
Si: 0.4406 0.8094 0.4406
Si: 0.5594 0.1906 0.5594
Si: 0.8094 0.4406 0.8094
Ir: 0.2561 0.2561 0.4939
Ir: 0.4939 0.4939 0.2561
Ir: 0.5061 0.5061 0.7439
Ir: 0.7439 0.7439 0.5061

***

Which of them is the most stable? Correct choice: #one.

***

#one
The following is a PBE calculation of a relaxed Ac3Si3Ir crystal, from Alexandria.

## Properties
- space group = C2/m, No. 12

a b c (Å): 6.3473 6.3473 14.5573
angles (deg): 108.36 108.36 40.99
Sites, in units of the cell vectors:
Ac: 0.0257 0.0257 0.3870
Ac: 0.1094 0.1094 0.9202
Ac: 0.2475 0.2475 0.2299
Ac: 0.7525 0.7525 0.7701
Ac: 0.8906 0.8906 0.0798
Ac: 0.9743 0.9743 0.6130
Si: 0.3128 0.3128 0.4613
Si: 0.4091 0.4091 0.9267
Si: 0.4490 0.4490 0.7663
Si: 0.5510 0.5510 0.2337
Si: 0.5909 0.5909 0.0733
Si: 0.6872 0.6872 0.5387
Ir: 0.2637 0.2637 0.6162
Ir: 0.7363 0.7363 0.3838

***

#two
The following is a PBE calculation of a relaxed Ac3Si3Ir crystal, from Alexandria.

## Properties
- space group = P6_3/m, No. 176

a b c (Å): 9.0605 9.0605 6.2616
angles (deg): 90.00 90.00 120.00
Sites, in units of the cell vectors:
Ac: 0.0900 0.3803 0.2500
Ac: 0.2903 0.9100 0.2500
Ac: 0.3803 0.2903 0.7500
Ac: 0.6197 0.7097 0.2500
Ac: 0.7097 0.0900 0.7500
Ac: 0.9100 0.6197 0.7500
Si: 0.0964 0.3973 0.7500
Si: 0.3009 0.9036 0.7500
Si: 0.3973 0.3009 0.2500
Si: 0.6027 0.6991 0.7500
Si: 0.6991 0.0964 0.2500
Si: 0.9036 0.6027 0.2500
Ir: 0.3333 0.6667 0.7500
Ir: 0.6667 0.3333 0.2500

***

Which of them is the most stable? Correct choice: #one.

***

#one
The following is a PBE calculation of a relaxed Ac3SiIr crystal, from Alexandria.

## Properties
- space group = P2_1/c, No. 14

a b c (Å): 9.3171 7.1831 10.6138
angles (deg): 90.00 108.80 90.00
Sites, in units of the cell vectors:
Ac: 0.1153 0.0389 0.2591
Ac: 0.1153 0.4611 0.7591
Ac: 0.2956 0.5689 0.4751
Ac: 0.2956 0.9311 0.9751
Ac: 0.3693 0.0595 0.6346
Ac: 0.3693 0.4405 0.1346
Ac: 0.6307 0.5595 0.8654
Ac: 0.6307 0.9405 0.3654
Ac: 0.7044 0.0689 0.0249
Ac: 0.7044 0.4311 0.5249
Ac: 0.8847 0.5389 0.2409
Ac: 0.8847 0.9611 0.7409
Si: 0.0229 0.6689 0.0062
Si: 0.0229 0.8311 0.5062
Si: 0.9771 0.1689 0.4938
Si: 0.9771 0.3311 0.9938
Ir: 0.4120 0.2348 0.3870
Ir: 0.4120 0.2652 0.8870
Ir: 0.5880 0.7348 0.1130
Ir: 0.5880 0.7652 0.6130

***

#two
The following is a PBE calculation of a relaxed Ac3SiIr crystal, from Alexandria.

## Properties
- space group = Pnma, No. 62

a b c (Å): 12.2405 4.4670 11.7898
angles (deg): 90.00 90.00 90.00
Sites, in units of the cell vectors:
Ac: 0.0466 0.2500 0.1421
Ac: 0.1129 0.7500 0.5555
Ac: 0.2252 0.2500 0.8001
Ac: 0.2748 0.7500 0.3001
Ac: 0.3871 0.2500 0.0555
Ac: 0.4534 0.7500 0.6421
Ac: 0.5466 0.2500 0.3579
Ac: 0.6129 0.7500 0.9445
Ac: 0.7252 0.2500 0.6999
Ac: 0.7748 0.7500 0.1999
Ac: 0.8871 0.2500 0.4445
Ac: 0.9534 0.7500 0.8579
Si: 0.1857 0.7500 0.9991
Si: 0.3143 0.2500 0.4991
Si: 0.6857 0.7500 0.5009
Si: 0.8143 0.2500 0.0009
Ir: 0.0026 0.7500 0.3168
Ir: 0.4974 0.2500 0.8168
Ir: 0.5026 0.7500 0.1832
Ir: 0.9974 0.2500 0.6832

***

Which of them is the most stable? Correct choice: #two.

***

#one
The following is a PBE calculation of a relaxed Ac2SmIr2 crystal, from Alexandria.

## Properties
- space group = C2/m, No. 12

a b c (Å): 13.8246 4.3312 5.9485
angles (deg): 90.00 115.32 90.00
Sites, in units of the cell vectors:
Ac: 0.1809 0.0000 0.1814
Ac: 0.3191 0.5000 0.8186
Ac: 0.6809 0.5000 0.1814
Ac: 0.8191 0.0000 0.8186
Sm: 0.0000 0.5000 0.5000
Sm: 0.5000 0.0000 0.5000
Ir: 0.1490 0.0000 0.6497
Ir: 0.3510 0.5000 0.3503
Ir: 0.6490 0.5000 0.6497
Ir: 0.8510 0.0000 0.3503

***

#two
The following is a PBE calculation of a relaxed Ac2SmIr2 crystal, from Alexandria.

## Properties
- space group = Cmcm, No. 63

a b c (Å): 7.2837 7.2837 10.0709
angles (deg): 90.00 90.00 146.23
Sites, in units of the cell vectors:
Ac: 0.1416 0.8584 0.5639
Ac: 0.1416 0.8584 0.9361
Ac: 0.8584 0.1416 0.0639
Ac: 0.8584 0.1416 0.4361
Sm: 0.4019 0.5981 0.7500
Sm: 0.5981 0.4019 0.2500
Ir: 0.2376 0.7624 0.2500
Ir: 0.5000 0.5000 0.0000
Ir: 0.5000 0.5000 0.5000
Ir: 0.7624 0.2376 0.7500

***

Which of them is the most stable? Correct choice: #two.

***

#one
The following is a PBE calculation of a relaxed Ac3SmIr crystal, from Alexandria.

## Properties
- space group = C2/m, No. 12

a b c (Å): 7.9117 7.9117 8.8879
angles (deg): 123.91 123.91 74.91
Sites, in units of the cell vectors:
Ac: 0.0471 0.0471 0.3385
Ac: 0.0514 0.4556 0.2160
Ac: 0.4556 0.0514 0.2160
Ac: 0.5444 0.9486 0.7840
Ac: 0.9486 0.5444 0.7840
Ac: 0.9529 0.9529 0.6615
Sm: 0.4561 0.4561 0.7600
Sm: 0.5439 0.5439 0.2400
Ir: 0.2549 0.2549 0.8407
Ir: 0.7451 0.7451 0.1593

***

#two
The following is a PBE calculation of a relaxed Ac3SmIr crystal, from Alexandria.

## Properties
- space group = Pm-3m, No. 221

a b c (Å): 5.8911 5.8911 5.8911
angles (deg): 90.00 90.00 90.00
Sites, in units of the cell vectors:
Ac: 0.0000 0.0000 0.5000
Ac: 0.0000 0.5000 0.0000
Ac: 0.5000 0.0000 0.0000
Sm: 0.5000 0.5000 0.5000
Ir: 0.0000 0.0000 0.0000

***

Which of them is the most stable? Correct choice: #one.

***

#one
The following is a PBE calculation of a relaxed Ac5SmIr4 crystal, from Alexandria.

## Properties
- space group = C2/m, No. 12

a b c (Å): 9.5457 9.5457 8.3997
angles (deg): 104.62 104.62 26.35
Sites, in units of the cell vectors:
Ac: 0.0000 0.0000 0.0000
Ac: 0.3342 0.3342 0.6441
Ac: 0.3395 0.3395 0.1720
Ac: 0.6605 0.6605 0.8280
Ac: 0.6658 0.6658 0.3559
Sm: 0.0000 0.0000 0.5000
Ir: 0.1697 0.1697 0.6046
Ir: 0.4986 0.4986 0.7494
Ir: 0.5014 0.5014 0.2506
Ir: 0.8303 0.8303 0.3954

***

#two
The following is a PBE calculation of a relaxed Ac5SmIr4 crystal, from Alexandria.

## Properties
- space group = Pmmn, No. 59

a b c (Å): 9.1014 10.1514 7.3227
angles (deg): 90.00 90.00 90.00
Sites, in units of the cell vectors:
Ac: 0.0038 0.0553 0.2449
Ac: 0.0038 0.4447 0.2449
Ac: 0.2500 0.2500 0.7020
Ac: 0.4962 0.0553 0.2449
Ac: 0.4962 0.4447 0.2449
Ac: 0.5038 0.5553 0.7551
Ac: 0.5038 0.9447 0.7551
Ac: 0.7500 0.7500 0.2980
Ac: 0.9962 0.5553 0.7551
Ac: 0.9962 0.9447 0.7551
Sm: 0.2500 0.7500 0.3077
Sm: 0.7500 0.2500 0.6923
Ir: 0.0087 0.7500 0.0679
Ir: 0.2500 0.5041 0.5016
Ir: 0.2500 0.9959 0.5016
Ir: 0.4913 0.7500 0.0679
Ir: 0.5087 0.2500 0.9321
Ir: 0.7500 0.0041 0.4984
Ir: 0.7500 0.4959 0.4984
Ir: 0.9913 0.2500 0.9321

***

Which of them is the most stable? Correct choice: #one.

***

#one
The following is a PBE calculation of a relaxed Ac3Sn3Ir crystal, from Alexandria.

## Properties
- space group = C2/m, No. 12

a b c (Å): 6.5060 6.5060 16.0680
angles (deg): 107.86 107.86 42.93
Sites, in units of the cell vectors:
Ac: 0.0207 0.0207 0.3851
Ac: 0.1025 0.1025 0.9191
Ac: 0.2464 0.2464 0.2440
Ac: 0.7536 0.7536 0.7560
Ac: 0.8975 0.8975 0.0809
Ac: 0.9793 0.9793 0.6149
Sn: 0.3349 0.3349 0.4670
Sn: 0.3851 0.3851 0.9240
Sn: 0.4612 0.4612 0.7606
Sn: 0.5388 0.5388 0.2394
Sn: 0.6149 0.6149 0.0760
Sn: 0.6651 0.6651 0.5330
Ir: 0.2525 0.2525 0.6164
Ir: 0.7475 0.7475 0.3836

***

#two
The following is a PBE calculation of a relaxed Ac3Sn3Ir crystal, from Alexandria.

## Properties
- space group = P6_3/m, No. 176

a b c (Å): 9.5098 9.5098 6.5894
angles (deg): 90.00 90.00 120.00
Sites, in units of the cell vectors:
Ac: 0.0969 0.4112 0.2500
Ac: 0.3143 0.9031 0.2500
Ac: 0.4112 0.3143 0.7500
Ac: 0.5888 0.6857 0.2500
Ac: 0.6857 0.0969 0.7500
Ac: 0.9031 0.5888 0.7500
Sn: 0.0935 0.3647 0.7500
Sn: 0.2712 0.9065 0.7500
Sn: 0.3647 0.2712 0.2500
Sn: 0.6353 0.7288 0.7500
Sn: 0.7288 0.0935 0.2500
Sn: 0.9065 0.6353 0.2500
Ir: 0.3333 0.6667 0.7500
Ir: 0.6667 0.3333 0.2500

***

Which of them is the most stable? Correct choice: #one.

***

#one
The following is a PBE calculation of a relaxed AcSn3Ir2 crystal, from Alexandria.

## Properties
- space group = C2/m, No. 12

a b c (Å): 9.1721 9.1721 10.9564
angles (deg): 106.43 106.43 28.37
Sites, in units of the cell vectors:
Ac: 0.0000 0.0000 0.0000
Ac: 0.1547 0.1547 0.7025
Ac: 0.8453 0.8453 0.2975
Sn: 0.0438 0.0438 0.3496
Sn: 0.2214 0.2214 0.3862
Sn: 0.3357 0.3357 0.0557
Sn: 0.3689 0.3689 0.8101
Sn: 0.5000 0.5000 0.5000
Sn: 0.6311 0.6311 0.1899
Sn: 0.6643 0.6643 0.9443
Sn: 0.7786 0.7786 0.6138
Sn: 0.9562 0.9562 0.6504
Ir: 0.1995 0.1995 0.1220
Ir: 0.3605 0.3605 0.5604
Ir: 0.4833 0.4833 0.2259
Ir: 0.5167 0.5167 0.7741
Ir: 0.6395 0.6395 0.4396
Ir: 0.8005 0.8005 0.8780

***

#two
The following is a PBE calculation of a relaxed AcSn3Ir2 crystal, from Alexandria.

## Properties
- space group = R-3m, No. 166

a b c (Å): 6.7013 6.7013 6.7013
angles (deg): 90.05 90.05 90.05
Sites, in units of the cell vectors:
Ac: 0.2500 0.2500 0.2500
Ac: 0.7500 0.7500 0.7500
Sn: 0.2498 0.2498 0.7501
Sn: 0.2498 0.7501 0.2498
Sn: 0.2499 0.7502 0.7502
Sn: 0.7501 0.2498 0.2498
Sn: 0.7502 0.2499 0.7502
Sn: 0.7502 0.7502 0.2499
Ir: 0.0000 0.0000 0.0000
Ir: 0.0000 0.5000 0.5000
Ir: 0.5000 0.0000 0.5000
Ir: 0.5000 0.5000 0.0000

***

Which of them is the most stable? Correct choice: #one.

***

#one
The following is a PBE calculation of a relaxed AcSn4Ir crystal, from Alexandria.

## Properties
- space group = Cmcm, No. 63

a b c (Å): 9.6017 9.6017 7.2777
angles (deg): 90.00 90.00 152.35
Sites, in units of the cell vectors:
Ac: 0.1167 0.8833 0.7500
Ac: 0.8833 0.1167 0.2500
Sn: 0.0673 0.9327 0.2500
Sn: 0.3083 0.6917 0.5361
Sn: 0.3083 0.6917 0.9639
Sn: 0.5000 0.5000 0.0000
Sn: 0.5000 0.5000 0.5000
Sn: 0.6917 0.3083 0.0361
Sn: 0.6917 0.3083 0.4639
Sn: 0.9327 0.0673 0.7500
Ir: 0.2089 0.7911 0.2500
Ir: 0.7911 0.2089 0.7500

***

#two
The following is a PBE calculation of a relaxed AcSn4Ir crystal, from Alexandria.

## Properties
- space group = P-1, No. 2

a b c (Å): 6.9210 7.2000 7.5768
angles (deg): 83.64 89.34 62.32
Sites, in units of the cell vectors:
Ac: 0.1252 0.4589 0.2734
Ac: 0.8748 0.5411 0.7266
Sn: 0.1390 0.9935 0.1516
Sn: 0.3235 0.6305 0.5917
Sn: 0.3468 0.0360 0.6523
Sn: 0.4015 0.3962 0.9185
Sn: 0.5985 0.6038 0.0815
Sn: 0.6532 0.9640 0.3477
Sn: 0.6765 0.3695 0.4083
Sn: 0.8610 0.0065 0.8484
Ir: 0.0000 0.0000 0.5000
Ir: 0.5000 0.0000 0.0000

***

Which of them is the most stable? Correct choice: #one.